(1)
Material: PaZn4Tc
Method: DFT, PBE
State: relaxed

Values from the calculation:
The value obtained for the energy of formation is -0.090 eV per atom. Its volume is 16.29 Å³ per atom.

CIF file:
```
data_PaZn4Tc
_chemical_formula_sum 'Pa4 Zn16 Tc4'
_cell_length_a 7.312
_cell_length_b 7.312
_cell_length_c 7.312
_cell_angle_alpha 90.00
_cell_angle_beta 90.00
_cell_angle_gamma 90.00
_space_group_name_H-M_alt 'F -4 3 m'
_space_group_IT_number 216
_space_group_name_Hall 'F -4 2 3'
loop_
_atom_site_label
_atom_site_fract_x
_atom_site_fract_y
_atom_site_fract_z
_atom_site_occupancy
Pa1 0.000 0.000 0.000 1
Zn1 0.124 0.124 0.376 1
Tc1 0.250 0.250 0.750 1
```


(2)
Material: Pa8ZnTc6
Method: DFT, PBE
State: relaxed

Values from the calculation:
The value obtained for the energy of formation is 0.008 eV per atom. Its volume is 21.53 Å³ per atom.

CIF file:
```
data_Pa8ZnTc6
_chemical_formula_sum 'Pa24 Zn3 Tc18'
_cell_length_a 8.7981
_cell_length_b 8.7981
_cell_length_c 14.4527
_cell_angle_alpha 90.00
_cell_angle_beta 90.00
_cell_angle_gamma 120.00
_space_group_name_H-M_alt 'R -3'
_space_group_IT_number 148
_space_group_name_Hall '-R 3'
loop_
_atom_site_label
_atom_site_fract_x
_atom_site_fract_y
_atom_site_fract_z
_atom_site_occupancy
Pa1 0.0000 0.0000 0.2366 1
Pa2 0.0124 0.7351 0.6013 1
Zn1 0.0000 0.0000 0.5000 1
Tc1 0.0487 0.2205 0.9073 1
```


(3)
Material: PaZnTc4
Method: DFT, PBE
State: relaxed

Values from the calculation:
The value obtained for the energy of formation is 0.137 eV per atom. Its volume is 17.43 Å³ per atom.

CIF file:
```
data_PaZnTc4
_chemical_formula_sum 'Pa4 Zn4 Tc16'
_cell_length_a 7.479
_cell_length_b 7.479
_cell_length_c 7.479
_cell_angle_alpha 90.00
_cell_angle_beta 90.00
_cell_angle_gamma 90.00
_space_group_name_H-M_alt 'F -4 3 m'
_space_group_IT_number 216
_space_group_name_Hall 'F -4 2 3'
loop_
_atom_site_label
_atom_site_fract_x
_atom_site_fract_y
_atom_site_fract_z
_atom_site_occupancy
Pa1 0.000 0.000 0.000 1
Zn1 0.250 0.250 0.250 1
Tc1 0.124 0.124 0.624 1
```


(4)
Material: Zr2PaTc
Method: DFT, PBE
State: relaxed

Values from the calculation:
The value obtained for the energy of formation is 0.015 eV per atom. Its volume is 20.26 Å³ per atom. As for the energy above the most stable polymorph in this dataset: 153 meV per atom.

CIF file:
```
data_Zr2PaTc
_chemical_formula_sum 'Zr8 Pa4 Tc4'
_cell_length_a 6.870
_cell_length_b 6.870
_cell_length_c 6.870
_cell_angle_alpha 90.00
_cell_angle_beta 90.00
_cell_angle_gamma 90.00
_space_group_name_H-M_alt 'F m -3 m'
_space_group_IT_number 225
_space_group_name_Hall '-F 4 2 3'
loop_
_atom_site_label
_atom_site_fract_x
_atom_site_fract_y
_atom_site_fract_z
_atom_site_occupancy
Zr1 0.250 0.250 0.250 1
Pa1 0.000 0.000 0.000 1
Tc1 0.000 0.000 0.500 1
```


(5)
Material: Zr2PaTc4
Method: DFT, PBE
State: relaxed

Values from the calculation:
The value obtained for the energy of formation is 0.223 eV per atom. Its volume is 19.50 Å³ per atom.

CIF file:
```
data_Zr2PaTc4
_chemical_formula_sum 'Zr4 Pa2 Tc8'
_cell_length_a 6.531
_cell_length_b 6.531
_cell_length_c 6.399
_cell_angle_alpha 90.00
_cell_angle_beta 90.00
_cell_angle_gamma 90.00
_space_group_name_H-M_alt 'I 4/m m m'
_space_group_IT_number 139
_space_group_name_Hall '-I 4 2'
loop_
_atom_site_label
_atom_site_fract_x
_atom_site_fract_y
_atom_site_fract_z
_atom_site_occupancy
Zr1 0.000 0.500 0.000 1
Pa1 0.000 0.000 0.000 1
Tc1 0.250 0.250 0.250 1
```


(6)
Material: Zr2PaTc
Method: DFT, PBE
State: relaxed

Values from the calculation:
The value obtained for the energy of formation is -0.138 eV per atom. Its volume is 22.71 Å³ per atom. As for the energy above the most stable polymorph in this dataset: 0 meV per atom.

CIF file:
```
data_Zr2PaTc
_chemical_formula_sum 'Zr8 Pa4 Tc4'
_cell_length_a 6.766
_cell_length_b 9.253
_cell_length_c 5.804
_cell_angle_alpha 90.00
_cell_angle_beta 90.00
_cell_angle_gamma 90.00
_space_group_name_H-M_alt 'P n m a'
_space_group_IT_number 62
loop_
_space_group_symop_operation_xyz
'x,y,z'
'-x,-y,-z'
'-x+1/2,-y,z+1/2'
'x+1/2,y,-z+1/2'
'x+1/2,-y+1/2,-z+1/2'
'-x+1/2,y+1/2,z+1/2'
'-x,y+1/2,-z'
'x,-y+1/2,z'
loop_
_atom_site_label
_atom_site_fract_x
_atom_site_fract_y
_atom_site_fract_z
_atom_site_occupancy
Zr1 0.184 0.056 0.152 1
Pa1 0.041 0.250 0.653 1
Tc1 0.129 0.750 0.955 1
```